VASP calculation (PBE with a Hubbard U) on an optimized crystal structure of LiCoTe2O6.

Theoretical density in g cm⁻³: 5.44
Crystal system: triclinic
Raw total energy in eV per atom: -5.43

Structure (extended XYZ):
```
10
Lattice="5.510 0.000 0.000 2.755 4.775 0.000 0.003 3.175 4.835" Properties=species:S:1:pos:R:3 pbc="T T T"
Li 0.000 0.000 0.000
Co 2.754 1.592 1.947
Te 2.757 4.769 4.162
Te 5.510 3.184 1.837
O 1.347 1.213 0.661
O 1.521 2.705 2.982
O 3.128 3.003 0.662
O 5.163 4.742 2.980
O 3.787 0.565 0.659
O 4.336 2.105 2.980
```